{
  "formula": "ThMgRh",
  "functional": "GGA-PBE",
  "state": "relaxed",
  "cell": [[10.391, 0.000, 0.000], [0.000, 4.143, 0.000], [-3.960, 0.000, 6.367]],
  "species": ["Th", "Th", "Th", "Th", "Mg", "Mg", "Mg", "Mg", "Rh", "Rh", "Rh", "Rh"],
  "fractional_positions": [[0.072, 0.000, 0.335], [0.428, 0.500, 0.665], [0.572, 0.500, 0.335], [0.928, 0.000, 0.665], [0.180, 0.500, 0.071], [0.320, 0.000, 0.929], [0.680, 0.000, 0.071], [0.820, 0.500, 0.929], [0.159, 0.500, 0.665], [0.341, 0.000, 0.335], [0.659, 0.000, 0.665], [0.841, 0.500, 0.335]],
  "dft_energy_ev_per_atom": -6.060,
  "dos_ef_per_ev_atom": 0.63,
  "sg": "C2/m, No. 12"
}


{
  "formula": "ZnTeMoI2",
  "functional": "GGA-PBE",
  "state": "relaxed",
  "cell": [[5.469, 0.000, 0.000], [0.000, 5.469, 0.000], [0.000, 0.000, 5.491]],
  "species": ["Zn", "Te", "Mo", "I", "I"],
  "fractional_positions": [[0.000, 0.000, 0.000], [0.000, 0.000, 0.500], [0.500, 0.500, 0.500], [0.000, 0.500, 0.000], [0.500, 0.000, 0.000]],
  "dos_ef_per_ev_atom": 0.68,
  "sg": "P4/mmm, No. 123",
  "polymorph_energy_mev_per_atom": 469
}


{
  "formula": "TbYNiPd",
  "functional": "GGA-PBE",
  "state": "relaxed",
  "cell": [[6.937, 0.000, 0.000], [0.000, 6.937, 0.000], [0.000, 0.000, 6.937]],
  "species": ["Tb", "Tb", "Tb", "Tb", "Y", "Y", "Y", "Y", "Ni", "Ni", "Ni", "Ni", "Pd", "Pd", "Pd", "Pd"],
  "fractional_positions": [[0.000, 0.000, 0.000], [0.000, 0.500, 0.500], [0.500, 0.000, 0.500], [0.500, 0.500, 0.000], [0.000, 0.000, 0.500], [0.000, 0.500, 0.000], [0.500, 0.000, 0.000], [0.500, 0.500, 0.500], [0.250, 0.250, 0.750], [0.250, 0.750, 0.250], [0.750, 0.250, 0.250], [0.750, 0.750, 0.750], [0.250, 0.250, 0.250], [0.250, 0.750, 0.750], [0.750, 0.250, 0.750], [0.750, 0.750, 0.250]],
  "dos_ef_per_ev_atom": 1.07,
  "sg": "F-43m, No. 216",
  "polymorph_energy_mev_per_atom": 52
}


{
  "formula": "PNF2",
  "functional": "GGA-PBE",
  "state": "relaxed",
  "cell": [[7.126, 0.000, 0.000], [0.000, 12.217, 0.000], [0.000, 0.000, 9.034]],
  "species": ["P", "P", "P", "P", "P", "P", "P", "P", "P", "P", "P", "P", "N", "N", "N", "N", "N", "N", "N", "N", "N", "N", "N", "N", "F", "F", "F", "F", "F", "F", "F", "F", "F", "F", "F", "F", "F", "F", "F", "F", "F", "F", "F", "F", "F", "F", "F", "F"],
  "fractional_positions": [[0.100, 0.250, 0.060], [0.173, 0.638, 0.092], [0.173, 0.862, 0.092], [0.327, 0.138, 0.592], [0.327, 0.362, 0.592], [0.400, 0.750, 0.560], [0.600, 0.250, 0.440], [0.673, 0.638, 0.408], [0.673, 0.862, 0.408], [0.827, 0.138, 0.908], [0.827, 0.362, 0.908], [0.900, 0.750, 0.940], [0.008, 0.138, 0.011], [0.008, 0.362, 0.011], [0.238, 0.250, 0.644], [0.262, 0.750, 0.144], [0.492, 0.638, 0.511], [0.492, 0.862, 0.511], [0.508, 0.138, 0.489], [0.508, 0.362, 0.489], [0.738, 0.250, 0.856], [0.762, 0.750, 0.356], [0.992, 0.638, 0.989], [0.992, 0.862, 0.989], [0.122, 0.250, 0.232], [0.135, 0.565, 0.230], [0.135, 0.935, 0.230], [0.172, 0.067, 0.517], [0.172, 0.433, 0.517], [0.188, 0.750, 0.519], [0.312, 0.250, 0.019], [0.328, 0.567, 0.017], [0.328, 0.933, 0.017], [0.365, 0.065, 0.730], [0.365, 0.435, 0.730], [0.378, 0.750, 0.732], [0.622, 0.250, 0.268], [0.635, 0.565, 0.270], [0.635, 0.935, 0.270], [0.672, 0.067, 0.983], [0.672, 0.433, 0.983], [0.688, 0.750, 0.981], [0.812, 0.250, 0.481], [0.828, 0.567, 0.483], [0.828, 0.933, 0.483], [0.865, 0.065, 0.770], [0.865, 0.435, 0.770], [0.878, 0.750, 0.768]],
  "dos_ef_per_ev_atom": 0.00,
  "sg": "Pnma, No. 62",
  "polymorph_energy_mev_per_atom": 12
}


{
  "formula": "MgZn2Au",
  "functional": "GGA-PBE",
  "state": "relaxed",
  "cell": [[6.415, 0.000, 0.000], [0.000, 6.415, 0.000], [0.000, 0.000, 6.415]],
  "species": ["Mg", "Mg", "Mg", "Mg", "Zn", "Zn", "Zn", "Zn", "Zn", "Zn", "Zn", "Zn", "Au", "Au", "Au", "Au"],
  "fractional_positions": [[0.000, 0.000, 0.000], [0.000, 0.500, 0.500], [0.500, 0.000, 0.500], [0.500, 0.500, 0.000], [0.000, 0.000, 0.500], [0.000, 0.500, 0.000], [0.250, 0.250, 0.750], [0.250, 0.750, 0.250], [0.500, 0.000, 0.000], [0.500, 0.500, 0.500], [0.750, 0.250, 0.250], [0.750, 0.750, 0.750], [0.250, 0.250, 0.250], [0.250, 0.750, 0.750], [0.750, 0.250, 0.750], [0.750, 0.750, 0.250]],
  "dft_energy_ev_per_atom": -2.084,
  "dos_ef_per_ev_atom": 0.57,
  "sg": "F-43m, No. 216"
}


{
  "formula": "SrTaNiB2",
  "functional": "GGA-PBE",
  "state": "relaxed",
  "cell": [[4.054, 0.000, 0.000], [0.000, 4.054, 0.000], [0.000, 0.000, 4.816]],
  "species": ["Sr", "Ta", "Ni", "B", "B"],
  "fractional_positions": [[0.000, 0.000, 0.000], [0.500, 0.500, 0.000], [0.000, 0.000, 0.500], [0.000, 0.500, 0.500], [0.500, 0.000, 0.500]],
  "dft_energy_ev_per_atom": -4.986,
  "dos_ef_per_ev_atom": 0.75,
  "sg": "P4/mmm, No. 123"
}


{
  "formula": "Sm2CrN4",
  "functional": "GGA-PBE",
  "state": "relaxed",
  "cell": [[5.607, 0.000, 0.000], [0.000, 5.472, 0.000], [-2.151, 0.000, 6.523]],
  "species": ["Sm", "Sm", "Sm", "Sm", "Cr", "Cr", "N", "N", "N", "N", "N", "N", "N", "N"],
  "fractional_positions": [[0.206, 0.250, 0.036], [0.276, 0.250, 0.563], [0.724, 0.750, 0.437], [0.794, 0.750, 0.964], [0.237, 0.750, 0.797], [0.763, 0.250, 0.203], [0.030, 0.504, 0.738], [0.030, 0.996, 0.738], [0.402, 0.750, 0.056], [0.441, 0.750, 0.650], [0.559, 0.250, 0.350], [0.598, 0.250, 0.944], [0.970, 0.004, 0.262], [0.970, 0.496, 0.262]],
  "sg": "P2_1/m, No. 11",
  "polymorph_energy_mev_per_atom": 30
}


{
  "formula": "Ce3Pr2Tc2",
  "functional": "GGA-PBE",
  "state": "relaxed",
  "cell": [[12.067, 0.000, 0.000], [0.000, 3.826, 0.000], [-3.257, 0.000, 8.006]],
  "species": ["Ce", "Ce", "Ce", "Ce", "Ce", "Ce", "Pr", "Pr", "Pr", "Pr", "Tc", "Tc", "Tc", "Tc"],
  "fractional_positions": [[0.000, 0.000, 0.000], [0.118, 0.000, 0.428], [0.382, 0.500, 0.572], [0.500, 0.500, 0.000], [0.618, 0.500, 0.428], [0.882, 0.000, 0.572], [0.161, 0.500, 0.809], [0.339, 0.000, 0.191], [0.661, 0.000, 0.809], [0.839, 0.500, 0.191], [0.137, 0.500, 0.237], [0.363, 0.000, 0.763], [0.637, 0.000, 0.237], [0.863, 0.500, 0.763]],
  "dft_energy_ev_per_atom": -6.922,
  "dos_ef_per_ev_atom": 1.55,
  "sg": "C2/m, No. 12"
}


{
  "formula": "CdNiBr2",
  "functional": "GGA-PBE",
  "state": "relaxed",
  "cell": [[7.081, 0.000, 0.000], [0.000, 7.081, 0.000], [0.000, 0.000, 7.081]],
  "species": ["Cd", "Cd", "Cd", "Cd", "Ni", "Ni", "Ni", "Ni", "Br", "Br", "Br", "Br", "Br", "Br", "Br", "Br"],
  "fractional_positions": [[0.000, 0.000, 0.000], [0.000, 0.500, 0.500], [0.500, 0.000, 0.500], [0.500, 0.500, 0.000], [0.250, 0.250, 0.250], [0.250, 0.750, 0.750], [0.750, 0.250, 0.750], [0.750, 0.750, 0.250], [0.000, 0.000, 0.500], [0.000, 0.500, 0.000], [0.250, 0.250, 0.750], [0.250, 0.750, 0.250], [0.500, 0.000, 0.000], [0.500, 0.500, 0.500], [0.750, 0.250, 0.250], [0.750, 0.750, 0.750]],
  "dos_ef_per_ev_atom": 2.25,
  "sg": "F-43m, No. 216",
  "polymorph_energy_mev_per_atom": 731
}


{
  "formula": "NbCdInCl2",
  "functional": "GGA-PBE",
  "state": "relaxed",
  "cell": [[4.955, 0.000, 0.000], [0.000, 4.955, 0.000], [0.000, 0.000, 6.368]],
  "species": ["Nb", "Cd", "In", "Cl", "Cl"],
  "fractional_positions": [[0.000, 0.000, 0.000], [0.000, 0.000, 0.500], [0.500, 0.500, 0.000], [0.000, 0.500, 0.500], [0.500, 0.000, 0.500]],
  "dft_energy_ev_per_atom": -2.955,
  "dos_ef_per_ev_atom": 0.17,
  "sg": "P4/mmm, No. 123"
}


{
  "formula": "LuPu2Sc",
  "functional": "GGA-PBE",
  "state": "relaxed",
  "cell": [[4.623, 0.000, 0.000], [0.000, 4.623, 0.000], [0.000, 0.000, 4.931]],
  "species": ["Lu", "Pu", "Pu", "Sc"],
  "fractional_positions": [[0.000, 0.000, 0.000], [0.000, 0.500, 0.500], [0.500, 0.000, 0.500], [0.500, 0.500, 0.000]],
  "dos_ef_per_ev_atom": 3.62,
  "sg": "P4/mmm, No. 123",
  "polymorph_energy_mev_per_atom": 7
}


{
  "formula": "LaPmNi2Ge2",
  "functional": "GGA-PBE",
  "state": "relaxed",
  "cell": [[4.142, 0.000, 0.000], [-2.071, 3.587, 0.000], [0.000, 0.000, 8.370]],
  "species": ["La", "Pm", "Ni", "Ni", "Ge", "Ge"],
  "fractional_positions": [[0.000, 0.000, 0.000], [0.000, 0.000, 0.500], [0.333, 0.667, 0.258], [0.667, 0.333, 0.742], [0.333, 0.667, 0.743], [0.667, 0.333, 0.257]],
  "dft_energy_ev_per_atom": -5.801,
  "dos_ef_per_ev_atom": 1.00,
  "sg": "P-3m1, No. 164"
}


Please write out number 3 again, unchanged.
{
  "formula": "TbYNiPd",
  "functional": "GGA-PBE",
  "state": "relaxed",
  "cell": [[6.937, 0.000, 0.000], [0.000, 6.937, 0.000], [0.000, 0.000, 6.937]],
  "species": ["Tb", "Tb", "Tb", "Tb", "Y", "Y", "Y", "Y", "Ni", "Ni", "Ni", "Ni", "Pd", "Pd", "Pd", "Pd"],
  "fractional_positions": [[0.000, 0.000, 0.000], [0.000, 0.500, 0.500], [0.500, 0.000, 0.500], [0.500, 0.500, 0.000], [0.000, 0.000, 0.500], [0.000, 0.500, 0.000], [0.500, 0.000, 0.000], [0.500, 0.500, 0.500], [0.250, 0.250, 0.750], [0.250, 0.750, 0.250], [0.750, 0.250, 0.250], [0.750, 0.750, 0.750], [0.250, 0.250, 0.250], [0.250, 0.750, 0.750], [0.750, 0.250, 0.750], [0.750, 0.750, 0.250]],
  "dos_ef_per_ev_atom": 1.07,
  "sg": "F-43m, No. 216",
  "polymorph_energy_mev_per_atom": 52
}